DFT (PBE with a Hubbard U) results for a relaxed structure of SrNdCo4O12.

Cell lengths 5.316, 5.316, 7.564 Å; angles 90.00, 90.00, 90.00 degrees
Positions (direct):
Sr 0.000 0.000 0.000
Nd 0.500 0.500 0.500
Co 0.000 0.500 0.246
Co 0.000 0.500 0.754
Co 0.500 0.000 0.246
Co 0.500 0.000 0.754
O 0.000 0.500 0.000
O 0.000 0.500 0.500
O 0.256 0.256 0.259
O 0.256 0.256 0.741
O 0.256 0.744 0.259
O 0.256 0.744 0.741
O 0.500 0.000 0.000
O 0.500 0.000 0.500
O 0.744 0.256 0.259
O 0.744 0.256 0.741
O 0.744 0.744 0.259
O 0.744 0.744 0.741

The density of states at the Fermi level comes out at 0.482 states/eV/atom. The space-group type is P4/mmm (123). For the raw total energy, the calculation gives -5.82 eV/atom.